(1)
Below is LaFe3Ni after structural relaxation, with properties calculated at the GGA-PBE level.

Lattice parameters (Å, degrees): 4.508 4.508 4.508 90.00 90.00 90.00
Fractional coordinates of all 5 atoms:
La  0.000  0.000  0.000
Fe  0.000  0.500  0.500
Fe  0.500  0.000  0.500
Fe  0.500  0.500  0.000
Ni  0.500  0.500  0.500

Properties
As for the symmetry: No. 221. The excess energy over the best structure of this formula in the dataset is 0.000 eV per atom. The calculation puts the formation enthalpy at 0 K at 0.495 eV/atom.

(2)
Below is TmMgRuPt after structural relaxation, with properties calculated at the GGA-PBE level.

Lattice parameters (Å, degrees): 6.548 6.548 6.548 90.00 90.00 90.00
Fractional coordinates of all 16 atoms:
Tm  0.000  0.000  0.000
Tm  0.000  0.500  0.500
Tm  0.500  0.000  0.500
Tm  0.500  0.500  0.000
Mg  0.000  0.000  0.500
Mg  0.000  0.500  0.000
Mg  0.500  0.000  0.000
Mg  0.500  0.500  0.500
Ru  0.250  0.250  0.250
Ru  0.250  0.750  0.750
Ru  0.750  0.250  0.750
Ru  0.750  0.750  0.250
Pt  0.250  0.250  0.750
Pt  0.250  0.750  0.250
Pt  0.750  0.250  0.250
Pt  0.750  0.750  0.750

Properties
As for the symmetry: No. 216. The calculation puts the formation enthalpy at 0 K at -0.636 eV/atom.

(3)
Below is Y2Cu2Ge after structural relaxation, with properties calculated at the GGA-PBE level.

Lattice parameters (Å, degrees): 7.002 7.002 4.078 90.00 90.00 90.00
Fractional coordinates of all 10 atoms:
Y  0.179  0.321  0.000
Y  0.321  0.821  0.000
Y  0.679  0.179  0.000
Y  0.821  0.679  0.000
Cu  0.123  0.623  0.500
Cu  0.377  0.123  0.500
Cu  0.623  0.877  0.500
Cu  0.877  0.377  0.500
Ge  0.000  0.000  0.500
Ge  0.500  0.500  0.500

Properties
As for the symmetry: No. 127. The excess energy over the best structure of this formula in the dataset is 0.000 eV per atom. The calculation puts the formation enthalpy at 0 K at -0.402 eV/atom.

(4)
Below is HgSbIr2 after structural relaxation, with properties calculated at the GGA-PBE level.

Lattice parameters (Å, degrees): 2.959 2.959 31.803 90.00 90.00 120.00
Fractional coordinates of all 12 atoms:
Hg  0.000  0.000  0.000
Hg  0.333  0.667  0.667
Hg  0.667  0.333  0.333
Sb  0.000  0.000  0.787
Sb  0.333  0.667  0.454
Sb  0.667  0.333  0.120
Ir  0.000  0.000  0.257
Ir  0.000  0.000  0.524
Ir  0.333  0.667  0.191
Ir  0.333  0.667  0.923
Ir  0.667  0.333  0.590
Ir  0.667  0.333  0.858

Properties
As for the symmetry: No. 160. The value obtained for the formation energy without anion corrections is 441 meV per atom. The excess energy over the best structure of this formula in the dataset is 0.117 eV per atom.

(5)
Below is MgBeW2 after structural relaxation, with properties calculated at the GGA-PBE level.

Lattice parameters (Å, degrees): 3.298 4.176 4.385 90.00 90.00 90.00
Fractional coordinates of all 4 atoms:
Mg  0.000  0.000  0.000
Be  0.500  0.500  0.000
W  0.000  0.500  0.500
W  0.500  0.000  0.500

Properties
As for the symmetry: No. 47. The excess energy over the best structure of this formula in the dataset is 0.143 eV per atom. The calculation puts the formation enthalpy at 0 K at 0.436 eV/atom.

(6)
Below is TlGaRe2Pb after structural relaxation, with properties calculated at the GGA-PBE level.

Lattice parameters (Å, degrees): 5.182 5.182 5.730 90.00 90.00 90.00
Fractional coordinates of all 5 atoms:
Tl  0.000  0.000  0.000
Ga  0.500  0.500  0.500
Re  0.000  0.500  0.000
Re  0.500  0.000  0.000
Pb  0.000  0.000  0.500

Properties
As for the symmetry: No. 123. The calculation puts the formation enthalpy at 0 K at 2.491 eV/atom.

| no. | final energy (eV per cell) |
| --- | --- |
| 1 | -33.6 |
| 2 | -95.7 |
| 3 | -55.5 |
| 4 | -61.2 |
| 5 | -29.5 |
| 6 | -21.5 |